An optimized crystal structure of Sm4IBr4N, computed with GGA-PBE.

abc: 9.1705 9.1705 8.6129
angles: 103.73 103.73 24.43
Last column: nearest neighbours and their distance in Å.
Element x y z (fractional)
Sm 0.0005 0.0005 0.3076  2 N 2.55
Sm 0.3616 0.3616 0.4288  1 N 2.41
Sm 0.6384 0.6384 0.5712  1 N 2.41
Sm 0.9995 0.9995 0.6924  2 N 2.55
I 0.5000 0.5000 0.0000  4 Sm 3.28
Br 0.1663 0.1663 0.8329  3 Sm 2.92-2.94
Br 0.1706 0.1706 0.3350  4 Sm 2.97-3.32
Br 0.8294 0.8294 0.6650  4 Sm 2.97-3.32
Br 0.8337 0.8337 0.1671  3 Sm 2.92-2.94
N 0.5000 0.5000 0.5000  6 Sm 2.41-2.55

As for the space group: C2/m. As for the calculated total energy: -5.10 eV/atom.

An optimized crystal structure of SrLuAgTeSe2, computed with GGA-PBE.

abc: 7.5406 7.5406 10.9252
angles: 90.00 90.00 148.19
Last column: nearest neighbours and their distance in Å.
Element x y z (fractional)
Sr 0.2206 0.7794 0.7500  4 Se 3.24, 2 Te 3.31, 2 Ag 3.51
Sr 0.7794 0.2206 0.2500  4 Se 3.24, 2 Te 3.31, 2 Ag 3.51
Lu 0.0000 0.0000 0.0000  4 Se 2.87, 2 Te 3.10
Lu 0.0000 0.0000 0.5000  4 Se 2.87, 2 Te 3.10
Ag 0.4747 0.5253 0.2500  2 Se 2.62, 2 Te 2.77
Ag 0.5253 0.4747 0.7500  2 Se 2.62, 2 Te 2.77
Te 0.1014 0.8986 0.2500  2 Ag 2.77
Te 0.8986 0.1014 0.7500  2 Ag 2.77
Se 0.3692 0.6308 0.0553  1 Ag 2.62, 2 Lu 2.87
Se 0.3692 0.6308 0.4447  1 Ag 2.62, 2 Lu 2.87
Se 0.6308 0.3692 0.5553  1 Ag 2.62, 2 Lu 2.87
Se 0.6308 0.3692 0.9447  1 Ag 2.62, 2 Lu 2.87

As for the space group: Cmcm. As for the calculated total energy: -4.54 eV/atom.

An optimized crystal structure of ZrCuBiIr, computed with GGA-PBE.

abc: 4.7310 4.7310 4.7310
angles: 60.00 60.00 60.00
Last column: nearest neighbours and their distance in Å.
Element x y z (fractional)
Zr 0.0000 0.0000 0.0000  4 Bi 2.90, 4 Ir 2.90
Cu 0.5000 0.5000 0.5000  4 Bi 2.90, 4 Ir 2.90
Bi 0.2500 0.2500 0.2500  4 Zr 2.90, 4 Cu 2.90
Ir 0.7500 0.7500 0.7500  4 Zr 2.90, 4 Cu 2.90

As for the energy above the most stable polymorph in this dataset: 159 meV/atom. As for the space group: F-43m. As for the calculated total energy: -6.29 eV/atom.

An optimized crystal structure of PuBPt, computed with GGA-PBE.

abc: 4.1865 4.1865 4.1865
angles: 60.00 60.00 60.00
Last column: nearest neighbours and their distance in Å.
Element x y z (fractional)
Pu 0.0000 0.0000 0.0000  4 B 2.56
B 0.7500 0.7500 0.7500  4 Pt 2.56, 4 Pu 2.56
Pt 0.5000 0.5000 0.5000  4 B 2.56

As for the energy above the most stable polymorph in this dataset: 0 meV/atom. As for the space group: F-43m. As for the calculated total energy: -9.04 eV/atom.

An optimized crystal structure of Ho2ErAlCd3Ga2, computed with GGA-PBE.

abc: 4.4136 7.2273 7.2273
angles: 119.95 90.00 90.00
Last column: nearest neighbours and their distance in Å.
Element x y z (fractional)
Ho 0.0000 0.2166 0.7834  4 Ga 3.08, 1 Al 3.13, 2 Cd 3.20
Ho 0.0000 0.7834 0.2166  4 Ga 3.08, 1 Al 3.13, 2 Cd 3.20
Er 0.0000 0.6499 0.6499  4 Ga 3.07, 1 Al 3.13, 2 Cd 3.20
Al 0.0000 0.2172 0.2172  6 Cd 2.84, 1 Er 3.13, 2 Ho 3.13
Cd 0.5000 0.2167 0.4634  2 Ga 2.78, 2 Al 2.84, 2 Cd 3.09
Cd 0.5000 0.4634 0.2167  2 Ga 2.78, 2 Al 2.84, 2 Cd 3.09
Cd 0.5000 0.9697 0.9697  2 Ga 2.77, 2 Al 2.84, 2 Cd 3.09
Ga 0.5000 0.5502 0.8830  3 Cd 2.77-2.78, 2 Er 3.07, 4 Ho 3.08
Ga 0.5000 0.8830 0.5502  3 Cd 2.77-2.78, 2 Er 3.07, 4 Ho 3.08

As for the space group: Amm2. As for the calculated total energy: -3.39 eV/atom.

An optimized crystal structure of RbNbCoTe3, computed with GGA-PBE.

abc: 9.1308 9.1308 10.1590
angles: 90.00 90.00 156.00
Last column: nearest neighbours and their distance in Å.
Element x y z (fractional)
Rb 0.2464 0.7536 0.7500  8 Te 3.62-4.04, 2 Rb 3.80
Rb 0.7536 0.2464 0.2500  8 Te 3.62-4.04, 2 Rb 3.80
Nb 0.5000 0.5000 0.0000  6 Te 2.83-2.86
Nb 0.5000 0.5000 0.5000  6 Te 2.83-2.86
Co 0.0177 0.9823 0.2500  4 Te 2.49-2.50
Co 0.9823 0.0177 0.7500  4 Te 2.49-2.50
Te 0.1110 0.8890 0.0684  1 Co 2.49
Te 0.1110 0.8890 0.4316  1 Co 2.49
Te 0.4265 0.5735 0.2500  2 Co 2.50
Te 0.5735 0.4265 0.7500  2 Co 2.50
Te 0.8890 0.1110 0.5684  1 Co 2.49
Te 0.8890 0.1110 0.9316  1 Co 2.49

As for the space group: Cmcm. As for the calculated total energy: -5.05 eV/atom.

An optimized crystal structure of LaLu2Al7Cu2, computed with GGA-PBE.

abc: 9.0708 9.0708 9.0708
angles: 35.23 35.23 35.23
Last column: nearest neighbours and their distance in Å.
Element x y z (fractional)
La 0.0000 0.0000 0.0000  6 Cu 3.17, 12 Al 3.43
Lu 0.1423 0.1423 0.1423  12 Al 3.16-3.23, 3 Lu 3.40
Lu 0.8577 0.8577 0.8577  12 Al 3.16-3.23, 3 Lu 3.40
Al 0.0743 0.5839 0.5839  2 Cu 2.58-2.62, 5 Al 2.69-2.80
Al 0.4161 0.4161 0.9257  2 Cu 2.58-2.62, 5 Al 2.69-2.80
Al 0.4161 0.9257 0.4161  2 Cu 2.58-2.62, 5 Al 2.69-2.80
Al 0.5000 0.5000 0.5000  6 Al 2.72
Al 0.5839 0.0743 0.5839  2 Cu 2.58-2.62, 5 Al 2.69-2.80
Al 0.5839 0.5839 0.0743  2 Cu 2.58-2.62, 5 Al 2.69-2.80
Al 0.9257 0.4161 0.4161  2 Cu 2.58-2.62, 5 Al 2.69-2.80
Cu 0.3352 0.3352 0.3352  6 Al 2.58-2.62
Cu 0.6648 0.6648 0.6648  6 Al 2.58-2.62

As for the space group: R-3m. As for the calculated total energy: -4.45 eV/atom.

An optimized crystal structure of GaFeNi, computed with GGA-PBE.

abc: 3.9221 3.9221 3.9221
angles: 60.00 60.00 60.00
Last column: nearest neighbours and their distance in Å.
Element x y z (fractional)
Ga 0.0000 0.0000 0.0000  4 Ni 2.40
Fe 0.5000 0.5000 0.5000  4 Ni 2.40
Ni 0.7500 0.7500 0.7500  4 Fe 2.40, 4 Ga 2.40

As for the space group: F-43m. As for the calculated total energy: -5.65 eV/atom.

What is the formula in the fourth record?
PuBPt

Which of these has the lowest calculated total energy?
PuBPt

Please write out number 6 again, unchanged.
An optimized crystal structure of RbNbCoTe3, computed with GGA-PBE.

abc: 9.1308 9.1308 10.1590
angles: 90.00 90.00 156.00
Last column: nearest neighbours and their distance in Å.
Element x y z (fractional)
Rb 0.2464 0.7536 0.7500  8 Te 3.62-4.04, 2 Rb 3.80
Rb 0.7536 0.2464 0.2500  8 Te 3.62-4.04, 2 Rb 3.80
Nb 0.5000 0.5000 0.0000  6 Te 2.83-2.86
Nb 0.5000 0.5000 0.5000  6 Te 2.83-2.86
Co 0.0177 0.9823 0.2500  4 Te 2.49-2.50
Co 0.9823 0.0177 0.7500  4 Te 2.49-2.50
Te 0.1110 0.8890 0.0684  1 Co 2.49
Te 0.1110 0.8890 0.4316  1 Co 2.49
Te 0.4265 0.5735 0.2500  2 Co 2.50
Te 0.5735 0.4265 0.7500  2 Co 2.50
Te 0.8890 0.1110 0.5684  1 Co 2.49
Te 0.8890 0.1110 0.9316  1 Co 2.49

As for the space group: Cmcm. As for the calculated total energy: -5.05 eV/atom.